Entry 1:
# BaSrMn2

A relaxed structure of BaSrMn2 (PBE, the Alexandria database).

Unit cell a=5.561 b=5.561 c=5.561 alpha=60.00 beta=60.00 gamma=60.00
Site moments in Bohr magnetons follow the coordinates.
Fractional coordinates of all 4 atoms:
Sr  0.750  0.750  0.750  -0.02
Ba  0.500  0.500  0.500  -0.03
Mn  0.000  0.000  0.000  4.11
Mn  0.250  0.250  0.250  4.10

E above lowest polymorph, eV per formula unit: 1.51
N(E_F), states/eV per cell: 6.2
Space-group type: F-43m
Mass density, g cm⁻³: 4.6
Crystal system: cubic
Energy of formation from the pure elements, eV per atom: 0.7607

Entry 2:
# Pr3Sm5Er3

A relaxed structure of Pr3Sm5Er3 (PBE, the Alexandria database).

Unit cell a=5.577 b=9.634 c=9.634 alpha=120.00 beta=90.00 gamma=90.00
Fractional coordinates of all 11 atoms:
Sm  0.500  0.333  0.667
Sm  0.500  0.382  0.000
Sm  0.500  0.000  0.382
Er  0.500  0.000  0.759
Er  0.500  0.759  0.000
Pr  0.000  0.600  0.000
Pr  0.000  0.000  0.600
Sm  0.500  0.667  0.333
Er  0.500  0.241  0.241
Pr  0.000  0.400  0.400
Sm  0.500  0.618  0.618

E above lowest polymorph, eV per formula unit: 0.00
N(E_F), states/eV per cell: 20.8
Space-group type: P-62m
Mass density, g cm⁻³: 6.2
Crystal system: hexagonal
Energy of formation from the pure elements, eV per atom: 0.7539

Entry 3:
# Hg2PtO4

A relaxed structure of Hg2PtO4 (PBE, the Alexandria database).

Unit cell a=3.938 b=3.938 c=6.919 alpha=73.47 beta=73.47 gamma=90.00
Fractional coordinates of all 7 atoms:
Hg  0.656  0.656  0.688
O  0.500  0.000  0.000
O  0.839  0.839  0.322
Pt  0.000  0.000  0.000
Hg  0.344  0.344  0.312
O  0.161  0.161  0.678
O  0.000  0.500  0.000

E above lowest polymorph, eV per formula unit: 2.33
N(E_F), states/eV per cell: 5.0
Space-group type: I4/mmm
Mass density, g cm⁻³: 11.2
Crystal system: tetragonal

Entry 4:
# KNbCo2

A relaxed structure of KNbCo2 (PBE, the Alexandria database).

Unit cell a=7.085 b=7.085 c=5.913 alpha=53.19 beta=53.19 gamma=90.00
Fractional coordinates of all 8 atoms:
Co  0.375  0.316  0.750
Co  0.684  0.125  0.250
Co  0.875  0.934  0.750
Co  0.066  0.625  0.250
K  0.500  0.500  0.000
K  0.250  0.750  0.500
Nb  0.000  0.000  0.000
Nb  0.750  0.250  0.500

E above lowest polymorph, eV per formula unit: 0.00
N(E_F), states/eV per cell: 3.5
Space-group type: I-42d
Mass density, g cm⁻³: 5.3
Crystal system: tetragonal
Energy of formation from the pure elements, eV per atom: 1.1487

Entry 5:
# ZnCu5Au3

A relaxed structure of ZnCu5Au3 (PBE, the Alexandria database).

Unit cell a=6.595 b=6.595 c=8.141 alpha=113.89 beta=113.89 gamma=90.00
Fractional coordinates of all 18 atoms:
Cu  0.379  0.879  0.314
Zn  0.750  0.250  0.500
Cu  0.436  0.379  0.314
Cu  0.500  0.500  0.000
Au  0.250  0.250  0.500
Au  0.361  0.861  0.000
Cu  0.936  0.436  0.314
Au  0.639  0.139  0.000
Au  0.750  0.750  0.500
Zn  0.250  0.750  0.500
Cu  0.121  0.064  0.686
Cu  0.000  0.000  0.000
Cu  0.879  0.936  0.314
Cu  0.564  0.621  0.686
Cu  0.621  0.121  0.686
Cu  0.064  0.564  0.686
Au  0.861  0.639  0.000
Au  0.139  0.361  0.000

N(E_F), states/eV per cell: 7.2
Space-group type: I4/mcm
Mass density, g cm⁻³: 11.1
Crystal system: tetragonal
Energy of formation from the pure elements, eV per atom: 0.2256

Entry 6:
# LaAlTc2

A relaxed structure of LaAlTc2 (PBE, the Alexandria database).

Unit cell a=2.997 b=2.997 c=8.537 alpha=90.00 beta=90.00 gamma=113.60
Fractional coordinates of all 4 atoms:
Tc  0.000  0.000  0.477
Tc  0.000  0.000  0.023
La  0.500  0.500  0.750
Al  0.500  0.500  0.250

N(E_F), states/eV per cell: 2.8
Space-group type: Cmmm
Mass density, g cm⁻³: 8.6
Crystal system: orthorhombic
Energy of formation from the pure elements, eV per atom: 0.2289

Entry 7:
# PmHo12Er3

A relaxed structure of PmHo12Er3 (PBE, the Alexandria database).

Unit cell a=4.990 b=4.990 c=19.949 alpha=90.00 beta=90.00 gamma=90.00
Fractional coordinates of all 16 atoms:
Ho  0.500  0.500  0.000
Ho  0.500  0.500  0.748
Ho  0.500  0.000  0.873
Ho  0.000  0.500  0.376
Ho  0.500  0.000  0.376
Ho  0.500  0.500  0.252
Ho  0.500  0.000  0.127
Ho  0.500  0.500  0.500
Pm  0.000  0.000  0.000
Er  0.000  0.000  0.500
Ho  0.500  0.000  0.624
Ho  0.000  0.500  0.127
Er  0.000  0.000  0.251
Ho  0.000  0.500  0.873
Er  0.000  0.000  0.749
Ho  0.000  0.500  0.624

N(E_F), states/eV per cell: 20.9
Space-group type: P4/mmm
Mass density, g cm⁻³: 8.8
Crystal system: tetragonal
Energy of formation from the pure elements, eV per atom: 0.0208

Entry 8:
# KTcRh2

A relaxed structure of KTcRh2 (PBE, the Alexandria database).

Unit cell a=2.694 b=3.968 c=7.629 alpha=90.00 beta=90.00 gamma=90.00
Fractional coordinates of all 4 atoms:
Rh  0.500  0.500  0.262
K  0.500  0.500  0.762
Tc  0.000  0.000  0.400
Rh  0.000  0.000  0.076

E above lowest polymorph, eV per formula unit: 1.00
N(E_F), states/eV per cell: 4.2
Space-group type: Pmm2
Mass density, g cm⁻³: 7.0
Crystal system: orthorhombic
Energy of formation from the pure elements, eV per atom: 0.5824